A.
Entry from Alexandria: CaNbB3 after structural relaxation (PBE). Values from VASP.

Quantum ESPRESSO input file:
```
&SYSTEM
  ibrav = 0, nat = 5, ntyp = 3
/
ATOMIC_SPECIES
B 10.81 B.upf
Nb 92.91 Nb.upf
Ca 40.08 Ca.upf
ATOMIC_POSITIONS angstrom
B 0.000 2.160 0.000
B 2.160 0.000 0.000
B 0.000 0.000 2.160
Nb 0.000 0.000 0.000
Ca 2.160 2.160 2.160
CELL_PARAMETERS angstrom
4.320 0.000 0.000
0.000 4.320 0.000
0.000 0.000 4.320
```

Properties
SG: Pm-3m (221)
D(E_F), states/eV/atom: 0.191

B.
Entry from Alexandria: CaNbB3 after structural relaxation (PBE). Values from VASP.

Quantum ESPRESSO input file:
```
&SYSTEM
  ibrav = 0, nat = 5, ntyp = 3
/
ATOMIC_SPECIES
B 10.81 B.upf
Ca 40.08 Ca.upf
Nb 92.91 Nb.upf
ATOMIC_POSITIONS angstrom
B 0.000 2.065 0.000
B 0.000 0.000 2.065
B 2.065 0.000 0.000
Ca 0.000 0.000 0.000
Nb 2.065 2.065 2.065
CELL_PARAMETERS angstrom
4.130 0.000 0.000
0.000 4.130 0.000
0.000 0.000 4.130
```

Properties
SG: Pm-3m (221)
D(E_F), states/eV/atom: 1.149

Energetically preferred structure: A | next structure: +1853 meV per atom